Below is YTaIr2 after structural relaxation, with properties calculated at the GGA-PBE level.

Cell: 5.392 5.392 5.392 Å, 136.91 136.91 62.57°
Fractional positions:
Y 0.750 0.250 0.500
Ir 0.250 0.750 0.500
Ir 0.000 0.000 0.000
Ta 0.500 0.500 0.000

=====

Below is Ca2NdGa6 after structural relaxation, with properties calculated at the GGA-PBE level.

Cell: 4.266 7.468 7.468 Å, 120.00 90.00 90.00°
Fractional positions:
Ga 0.500 0.000 0.333
Ga 0.500 0.333 0.000
Ga 0.500 0.667 0.667
Ga 0.500 0.667 0.000
Ga 0.500 0.000 0.667
Ga 0.500 0.333 0.333
Nd 0.000 0.000 0.000
Ca 0.000 0.333 0.667
Ca 0.000 0.667 0.333

=====

Number 1: ΔH_f (0 K) -0.31 eV/atom. Number 2: ΔH_f (0 K) -0.55 eV/atom.